First-principles (GGA+U) data for an optimized crystal structure of MnTc2O, as listed in Alexandria via LeMat-Bulk.

abc: 4.9967 4.9967 5.8945
angles: 64.92 64.92 90.00
Last column: nearest neighbours and their distance in Å.
Fractional positions:
Mn (0.0000, 0.0000, 0.0000)  4 Tc 2.25
Mn (0.7500, 0.2500, 0.5000)  4 Tc 2.25
Tc (0.5841, 0.1250, 0.2500)  2 O 2.01, 2 Mn 2.25
Tc (0.1659, 0.6250, 0.2500)  2 O 2.01, 2 Mn 2.25
Tc (0.3750, 0.4159, 0.7500)  2 O 2.01, 2 Mn 2.25
Tc (0.8750, 0.8341, 0.7500)  2 O 2.01, 2 Mn 2.25
O (0.5000, 0.5000, 0.0000)  4 Tc 2.01
O (0.2500, 0.7500, 0.5000)  4 Tc 2.01

E = -7.329 eV per atom
DOS at the Fermi energy = 4.137 states/eV/f.u.